[1]
Below is an optimized crystal structure of NaDy5, with properties calculated at the PBE level.

## Properties
Total DFT energy (no corrections) in eV per cell: -21.4

Structure (POSCAR):
```
NaDy5
1.0
-5.5081 -2.2347 2.8603
5.7576 -0.3603 3.1992
-0.9284 5.1728 2.2535
Dy Na
5 1
Direct
0.6667 0.3333 0.0000
0.3333 0.6667 0.0000
0.5000 0.0000 0.5000
0.0000 0.5000 0.5000
0.5000 0.5000 0.5000
0.0000 0.0000 0.0000
```



[2]
Below is an optimized crystal structure of Na2Dy, with properties calculated at the PBE level.

## Properties
ΔE to the lowest computed polymorph in meV per atom: 0

Structure (POSCAR):
```
Na2Dy
1.0
0.0000 4.4733 4.4733
4.4733 0.0000 4.4733
4.4733 4.4733 0.0000
Dy Na
2 4
Direct
0.0000 0.0000 0.0000
0.2500 0.2500 0.2500
0.6250 0.6250 0.1250
0.6250 0.1250 0.6250
0.1250 0.6250 0.6250
0.6250 0.6250 0.6250
```



[3]
Below is an optimized crystal structure of NaDy3, with properties calculated at the PBE level.

## Properties
Total DFT energy (no corrections) in eV per cell: -13.9

Structure (POSCAR):
```
NaDy3
1.0
-2.4287 2.4287 5.2853
2.4287 -2.4287 5.2853
2.4287 2.4287 -5.2853
Dy Na
3 1
Direct
0.5000 0.5000 0.0000
0.7500 0.2500 0.5000
0.2500 0.7500 0.5000
0.0000 0.0000 0.0000
```



[4]
Below is an optimized crystal structure of Na2Dy, with properties calculated at the PBE level.

## Properties
ΔE to the lowest computed polymorph in meV per atom: 554

Structure (POSCAR):
```
Na2Dy
1.0
-4.8972 -2.2998 0.5894
-1.8942 -1.1311 4.9752
-4.1305 2.8837 2.0597
Dy Na
1 2
Direct
0.0000 0.0000 0.0000
0.2500 0.2500 0.2500
0.7500 0.7500 0.7500
```